Density functional theory data (PBE-GGA) for a relaxed structure of Na2RuO5.

```
data_Na2RuO5
_chemical_formula_sum 'Na4 Ru2 O10'
_space_group_name_H-M_alt 'I 4 m m'
_space_group_IT_number 107
_space_group_name_Hall 'I 4 -2'
_cell_length_a 6.024
_cell_length_b 6.024
_cell_length_c 7.525
_cell_angle_alpha 90.00
_cell_angle_beta 90.00
_cell_angle_gamma 90.00
loop_
_atom_site_label
_atom_site_type_symbol
_atom_site_fract_x
_atom_site_fract_y
_atom_site_fract_z
Na1 Na 0.000 0.500 0.000
Ru1 Ru 0.000 0.000 0.303
O1 O 0.000 0.000 0.073
O2 O 0.206 0.206 0.368
```

**E_tot**: -5.555 eV per atom

---

Density functional theory data (PBE-GGA) for a relaxed structure of PmH10Ru3.

```
data_PmH10Ru3
_chemical_formula_sum 'Pm8 H80 Ru24'
_space_group_name_H-M_alt 'F m -3 m'
_space_group_IT_number 225
_space_group_name_Hall '-F 4 2 3'
_cell_length_a 9.341
_cell_length_b 9.341
_cell_length_c 9.341
_cell_angle_alpha 90.00
_cell_angle_beta 90.00
_cell_angle_gamma 90.00
loop_
_atom_site_label
_atom_site_type_symbol
_atom_site_fract_x
_atom_site_fract_y
_atom_site_fract_z
Pm1 Pm 0.250 0.250 0.250
H1 H 0.000 0.166 0.166
H2 H 0.105 0.105 0.395
Ru1 Ru 0.000 0.000 0.261
```

**E_tot**: -4.829 eV per atom

---

Density functional theory data (PBE-GGA) for a relaxed structure of NpPt2S6.

```
data_NpPt2S6
_chemical_formula_sum 'Np2 Pt4 S12'
_space_group_name_H-M_alt 'C 1 2/m 1'
_space_group_IT_number 12
_cell_length_a 12.867
_cell_length_b 3.684
_cell_length_c 10.274
_cell_angle_alpha 90.00
_cell_angle_beta 120.90
_cell_angle_gamma 90.00
loop_
_space_group_symop_operation_xyz
'x,y,z'
'-x,-y,-z'
'-x,y,-z'
'x,-y,z'
'x+1/2,y+1/2,z'
'-x+1/2,-y+1/2,-z'
'-x+1/2,y+1/2,-z'
'x+1/2,-y+1/2,z'
loop_
_atom_site_label
_atom_site_type_symbol
_atom_site_fract_x
_atom_site_fract_y
_atom_site_fract_z
Np1 Np 0.000 0.000 0.000
Pt1 Pt 0.163 0.500 0.329
S1 S 0.021 0.000 0.268
S2 S 0.170 0.500 0.095
S3 S 0.193 0.500 0.579
```

**E_tot**: -6.150 eV per atom

---

Density functional theory data (PBE-GGA) for a relaxed structure of Zr2CuRh.

```
data_Zr2CuRh
_chemical_formula_sum 'Zr4 Cu2 Rh2'
_space_group_name_H-M_alt 'P 1 21/m 1'
_space_group_IT_number 11
_cell_length_a 5.291
_cell_length_b 4.272
_cell_length_c 6.686
_cell_angle_alpha 90.00
_cell_angle_beta 104.89
_cell_angle_gamma 90.00
loop_
_space_group_symop_operation_xyz
'x,y,z'
'-x,-y,-z'
'-x,y+1/2,-z'
'x,-y+1/2,z'
loop_
_atom_site_label
_atom_site_type_symbol
_atom_site_fract_x
_atom_site_fract_y
_atom_site_fract_z
Zr1 Zr 0.209 0.250 0.435
Zr2 Zr 0.224 0.250 0.942
Cu1 Cu 0.337 0.750 0.709
Rh1 Rh 0.325 0.750 0.216
```

**ΔE_f**: -0.49 eV/atom
**E_tot**: -7.624 eV per atom

---

Density functional theory data (PBE-GGA) for a relaxed structure of HfCo.

```
data_HfCo
_chemical_formula_sum 'Hf8 Co8'
_space_group_name_H-M_alt 'I 4/m m m'
_space_group_IT_number 139
_space_group_name_Hall '-I 4 2'
_cell_length_a 7.845
_cell_length_b 7.845
_cell_length_c 4.203
_cell_angle_alpha 90.00
_cell_angle_beta 90.00
_cell_angle_gamma 90.00
loop_
_atom_site_label
_atom_site_type_symbol
_atom_site_fract_x
_atom_site_fract_y
_atom_site_fract_z
Hf1 Hf 0.000 0.291 0.000
Co1 Co 0.162 0.162 0.500
```

**ΔE_f**: -0.17 eV/atom
**E_tot**: -8.699 eV per atom

---

Density functional theory data (PBE-GGA) for a relaxed structure of U2FeAu.

```
data_U2FeAu
_chemical_formula_sum 'U6 Fe3 Au3'
_space_group_name_H-M_alt 'R -3 m'
_space_group_IT_number 166
_space_group_name_Hall '-R 3 2"'
_cell_length_a 2.9300
_cell_length_b 2.9300
_cell_length_c 31.3125
_cell_angle_alpha 90.00
_cell_angle_beta 90.00
_cell_angle_gamma 120.00
loop_
_atom_site_label
_atom_site_type_symbol
_atom_site_fract_x
_atom_site_fract_y
_atom_site_fract_z
U1 U 0.0000 0.0000 0.0977
Fe1 Fe 0.0000 0.0000 0.5000
Au1 Au 0.0000 0.0000 0.0000
```

**ΔE_f**: 0.35 eV/atom
**E_tot**: -8.227 eV per atom

---

Density functional theory data (PBE-GGA) for a relaxed structure of NaTl14In.

```
data_NaTl14In
_chemical_formula_sum 'Na2 Tl28 In2'
_space_group_name_H-M_alt 'A m m 2'
_space_group_IT_number 38
_cell_length_a 11.057
_cell_length_b 7.904
_cell_length_c 11.082
_cell_angle_alpha 90.00
_cell_angle_beta 90.00
_cell_angle_gamma 90.00
loop_
_space_group_symop_operation_xyz
'x,y,z'
'-x,-y,z'
'-x,y,z'
'x,-y,z'
'x,y+1/2,z+1/2'
'-x,-y+1/2,z+1/2'
'-x,y+1/2,z+1/2'
'x,-y+1/2,z+1/2'
loop_
_atom_site_label
_atom_site_type_symbol
_atom_site_fract_x
_atom_site_fract_y
_atom_site_fract_z
Na1 Na 0.000 0.000 0.000
Tl1 Tl 0.000 0.230 0.739
Tl2 Tl 0.243 0.000 0.259
Tl3 Tl 0.245 0.235 0.518
Tl4 Tl 0.255 0.000 0.778
Tl5 Tl 0.500 0.000 0.007
Tl6 Tl 0.500 0.000 0.508
Tl7 Tl 0.500 0.245 0.257
In1 In 0.000 0.000 0.478
```

**ΔE_f**: -0.02 eV/atom
**E_tot**: -2.340 eV per atom

---

Density functional theory data (PBE-GGA) for a relaxed structure of HfMn3Fe.

```
data_HfMn3Fe
_chemical_formula_sum 'Hf1 Mn3 Fe1'
_space_group_name_H-M_alt 'P m -3 m'
_space_group_IT_number 221
_space_group_name_Hall '-P 4 2 3'
_cell_length_a 4.382
_cell_length_b 4.382
_cell_length_c 4.382
_cell_angle_alpha 90.00
_cell_angle_beta 90.00
_cell_angle_gamma 90.00
loop_
_atom_site_label
_atom_site_type_symbol
_atom_site_fract_x
_atom_site_fract_y
_atom_site_fract_z
Hf1 Hf 0.000 0.000 0.000
Mn1 Mn 0.000 0.000 0.500
Fe1 Fe 0.500 0.500 0.500
```

**ΔE_f**: 2.34 eV/atom
**E above lowest polymorph**: 1573 meV per atom
**E_tot**: -6.841 eV per atom

---

Density functional theory data (PBE-GGA) for a relaxed structure of LiScAl2.

```
data_LiScAl2
_chemical_formula_sum 'Li2 Sc2 Al4'
_space_group_name_H-M_alt 'I m m 2'
_space_group_IT_number 44
_cell_length_a 3.375
_cell_length_b 4.652
_cell_length_c 9.532
_cell_angle_alpha 90.00
_cell_angle_beta 90.00
_cell_angle_gamma 90.00
loop_
_space_group_symop_operation_xyz
'x,y,z'
'-x,-y,z'
'-x,y,z'
'x,-y,z'
'x+1/2,y+1/2,z+1/2'
'-x+1/2,-y+1/2,z+1/2'
'-x+1/2,y+1/2,z+1/2'
'x+1/2,-y+1/2,z+1/2'
loop_
_atom_site_label
_atom_site_type_symbol
_atom_site_fract_x
_atom_site_fract_y
_atom_site_fract_z
Li1 Li 0.000 0.000 0.000
Sc1 Sc 0.000 0.500 0.233
Al1 Al 0.000 0.000 0.477
Al2 Al 0.000 0.500 0.752
```

**ΔE_f**: -0.15 eV/atom
**E_tot**: -4.085 eV per atom

---

Density functional theory data (PBE-GGA) for a relaxed structure of Ni7Ge2Sb.

```
data_Ni7Ge2Sb
_chemical_formula_sum 'Ni14 Ge4 Sb2'
_space_group_name_H-M_alt 'I 4/m m m'
_space_group_IT_number 139
_space_group_name_Hall '-I 4 2'
_cell_length_a 3.781
_cell_length_b 3.781
_cell_length_c 18.662
_cell_angle_alpha 90.00
_cell_angle_beta 90.00
_cell_angle_gamma 90.00
loop_
_atom_site_label
_atom_site_type_symbol
_atom_site_fract_x
_atom_site_fract_y
_atom_site_fract_z
Ni1 Ni 0.000 0.000 0.000
Ni2 Ni 0.000 0.500 0.098
Ni3 Ni 0.000 0.500 0.250
Ge1 Ge 0.000 0.000 0.173
Sb1 Sb 0.000 0.000 0.500
```

**E_tot**: -5.557 eV per atom

---

Density functional theory data (PBE-GGA) for a relaxed structure of EuHoIr2.

```
data_EuHoIr2
_chemical_formula_sum 'Eu1 Ho1 Ir2'
_space_group_name_H-M_alt 'P 4/m m m'
_space_group_IT_number 123
_space_group_name_Hall '-P 4 2'
_cell_length_a 3.342
_cell_length_b 3.342
_cell_length_c 7.397
_cell_angle_alpha 90.00
_cell_angle_beta 90.00
_cell_angle_gamma 90.00
loop_
_atom_site_label
_atom_site_type_symbol
_atom_site_fract_x
_atom_site_fract_y
_atom_site_fract_z
Eu1 Eu 0.000 0.000 0.000
Ho1 Ho 0.000 0.000 0.500
Ir1 Ir 0.500 0.500 0.270
```

**ΔE_f**: -0.53 eV/atom
**E above lowest polymorph**: 0 meV per atom
**E_tot**: -8.673 eV per atom

---

Density functional theory data (PBE-GGA) for a relaxed structure of CaTb2Y.

```
data_CaTb2Y
_chemical_formula_sum 'Ca3 Tb6 Y3'
_space_group_name_H-M_alt 'R 3 m'
_space_group_IT_number 160
_space_group_name_Hall 'R 3 -2"'
_cell_length_a 3.6090
_cell_length_b 3.6090
_cell_length_c 36.1355
_cell_angle_alpha 90.00
_cell_angle_beta 90.00
_cell_angle_gamma 120.00
loop_
_atom_site_label
_atom_site_type_symbol
_atom_site_fract_x
_atom_site_fract_y
_atom_site_fract_z
Ca1 Ca 0.0000 0.0000 0.0000
Tb1 Tb 0.0000 0.0000 0.2459
Tb2 Tb 0.0000 0.0000 0.4218
Y1 Y 0.0000 0.0000 0.8341
```

**ΔE_f**: 0.06 eV/atom
**E above lowest polymorph**: 0 meV per atom
**E_tot**: -4.372 eV per atom